A geometry-optimized PaTlGa2 structure, computed with GGA-PBE.

Properties
Calculated total energy   -4.64 eV/atom
SG   P4/mmm, No. 123
ΔH_f (0 K)   -0.1564 eV per atom
Distance to the lowest polymorph of the same formula   0 meV per atom

Lattice parameters (Å, degrees): 4.571 4.571 4.234 90.00 90.00 90.00
Fractional positions:
Pa1 0.000 0.000 0.000
Tl1 0.500 0.500 0.000
Ga1 0.000 0.500 0.500
Ga2 0.500 0.000 0.500